## CaMoCl2 (GGA-PBE)

Data for a geometry-optimized CaMoCl2 structure.

a b c (Å): 3.245 3.245 8.693
angles (deg): 90.00 90.00 90.00
Space group P4mm (No. 99)
One atom of each set of equivalent atoms:
Ca  0.000  0.000  0.000 [1 per cell]
Mo  0.500  0.500  0.712 [1 per cell]
Cl  0.000  0.000  0.590 [1 per cell]
Cl  0.500  0.500  0.179 [1 per cell]

Output
For the distance to the lowest polymorph of the same formula, the calculation gives 1 meV/atom. The calculation puts the uncorrected formation energy at -0.55 eV per atom.